The following is a PBE-GGA calculation of a relaxed structure of CsThTe2, from the Alexandria database.

Geometry as POSCAR:
```
CsThTe2
1.0
4.496 0.000 0.000
2.248 3.893 0.000
2.248 1.298 9.324
Cs Th Te
1 1 2
Cartesian
4.496 2.595 4.731
6.743 3.893 9.295
2.248 1.298 7.433
2.248 1.298 1.850
```

Properties
energy	-19.18	eV per formula unit
V	40.80	Å³/atom
Fermi-level density of states	0.7385	states/eV per atom
magnetic moment	0.000	μB/f.u.
SG	R3m, No. 160